No. 1
Material: NdYAlSi
Method: DFT, PBE
State: relaxed

Calculated values
total DFT energy (no corrections) = -5.736 eV per atom
calculated volume = 24.678 Å³ per atom
total moment = 0.00 μB/atom
energy relative to the elements, uncorrected = -637 meV/atom
ρ = 4.848 g cm⁻³

POSCAR file:
```
NdYAlSi
1.0
4.037 0.000 0.000
0.000 2.204 5.548
0.000 -2.204 5.548
Nd Y Al Si
1 1 1 1
Cartesian
0.000 0.000 0.000 Nd
2.019 0.000 3.142 Y
2.019 0.000 6.397 Al
0.000 0.000 7.971 Si
```

***

No. 2
Material: Nd3SmAl8
Method: DFT, PBE
State: relaxed

Calculated values
energy above the most stable polymorph in this dataset = 0.0 kJ/mol of atoms
total DFT energy (no corrections) = -4.582 eV per atom
DFT formation energy = -0.502 eV per atom
calculated volume = 21.541 Å³ per atom
total moment = 0.00 μB/atom
ρ = 5.132 g cm⁻³

POSCAR file:
```
Nd3SmAl8
1.0
2.836 1.637 9.280
-2.836 1.637 9.280
0.000 -3.274 9.280
Nd Sm Al
3 1 8
Cartesian
0.000 0.000 0.000 Nd
0.000 0.000 3.481 Nd
0.000 0.000 13.922 Nd
0.000 0.000 17.396 Sm
-1.419 -0.819 11.011 Al
0.000 -1.638 6.389 Al
-1.419 0.819 6.389 Al
0.000 0.000 8.697 Al
1.419 -0.819 11.011 Al
0.000 1.638 11.011 Al
1.419 0.819 6.389 Al
0.000 0.000 22.623 Al
```

***

No. 3
Material: Nd3SmAl8
Method: DFT, PBE
State: relaxed

Calculated values
energy above the most stable polymorph in this dataset = 1.1 kJ/mol of atoms
total DFT energy (no corrections) = -4.571 eV per atom
DFT formation energy = -0.490 eV per atom
calculated volume = 21.610 Å³ per atom
total moment = 0.00 μB/atom
ρ = 5.116 g cm⁻³

POSCAR file:
```
Nd3SmAl8
1.0
5.664 0.000 0.000
-2.832 4.905 0.000
0.000 0.000 9.335
Nd Sm Al
3 1 8
Cartesian
0.000 0.000 0.000 Nd
0.000 0.000 3.396 Nd
0.000 3.270 8.061 Nd
0.000 3.270 4.665 Sm
-1.377 2.475 1.703 Al
1.379 0.796 6.352 Al
1.377 2.475 1.703 Al
0.000 4.860 1.703 Al
2.832 1.635 4.034 Al
2.832 1.635 8.692 Al
4.285 0.796 6.352 Al
2.832 3.313 6.352 Al
```

***

No. 4
Material: Nd5SmAl2
Method: DFT, PBE
State: relaxed

Calculated values
energy above the most stable polymorph in this dataset = 0.0 kJ/mol of atoms
total DFT energy (no corrections) = -4.570 eV per atom
DFT formation energy = -0.065 eV per atom
calculated volume = 30.686 Å³ per atom
total moment = 0.00 μB/atom
ρ = 6.260 g cm⁻³

POSCAR file:
```
Nd5SmAl2
1.0
-1.851 5.355 6.191
1.851 -5.355 6.191
1.851 5.355 -6.191
Nd Sm Al
5 1 2
Cartesian
0.000 0.000 0.000 Nd
1.851 2.330 -1.760 Nd
1.851 2.330 1.760 Nd
0.000 3.026 4.431 Nd
0.000 3.026 7.951 Nd
0.000 5.355 0.000 Sm
0.000 0.000 3.413 Al
0.000 0.000 8.970 Al
```